Entry from Alexandria: a relaxed CeSmMgZn crystal (PBE).

CIF file:
```
data_CeSmMgZn
_cell_length_a 7.464
_cell_length_b 7.464
_cell_length_c 7.464
_cell_angle_alpha 90.00
_cell_angle_beta 90.00
_cell_angle_gamma 90.00
_symmetry_space_group_name_H-M 'F -4 3 m'
_symmetry_Int_Tables_number 216
_symmetry_space_group_name_Hall 'F -4 2 3'
loop_
_atom_site_label
_atom_site_type_symbol
_atom_site_fract_x
_atom_site_fract_y
_atom_site_fract_z
_atom_site_occupancy
Ce1 Ce 0.000 0.000 0.000 1
Sm1 Sm 0.000 0.000 0.500 1
Mg1 Mg 0.250 0.250 0.250 1
Zn1 Zn 0.250 0.250 0.750 1
```

Values from the calculation:
**Formation energy from the elements**: -0.086 eV per atom

Entry from Alexandria: a relaxed Ac4Hg2Au crystal (PBE).

CIF file:
```
data_Ac4Hg2Au
_cell_length_a 5.6090
_cell_length_b 5.6090
_cell_length_c 27.6208
_cell_angle_alpha 90.00
_cell_angle_beta 90.00
_cell_angle_gamma 120.00
_symmetry_space_group_name_H-M 'R -3 m'
_symmetry_Int_Tables_number 166
_symmetry_space_group_name_Hall '-R 3 2"'
loop_
_atom_site_label
_atom_site_type_symbol
_atom_site_fract_x
_atom_site_fract_y
_atom_site_fract_z
_atom_site_occupancy
Ac1 Ac 0.0000 0.0000 0.1221 1
Ac2 Ac 0.0000 0.0000 0.3719 1
Hg1 Hg 0.0000 0.0000 0.2442 1
Au1 Au 0.0000 0.0000 0.0000 1
```

Values from the calculation:
**Formation energy from the elements**: -0.419 eV per atom

Entry from Alexandria: a relaxed NaCuOsCl6 crystal (PBE).

CIF file:
```
data_NaCuOsCl6
_cell_length_a 6.4073
_cell_length_b 6.4073
_cell_length_c 11.0181
_cell_angle_alpha 90.00
_cell_angle_beta 90.00
_cell_angle_gamma 120.00
_symmetry_space_group_name_H-M 'P -3 1 c'
_symmetry_Int_Tables_number 163
_symmetry_space_group_name_Hall '-P 3 2c'
loop_
_atom_site_label
_atom_site_type_symbol
_atom_site_fract_x
_atom_site_fract_y
_atom_site_fract_z
_atom_site_occupancy
Na1 Na 0.3333 0.6667 0.2500 1
Cu1 Cu 0.0000 0.0000 0.0000 1
Os1 Os 0.3333 0.6667 0.7500 1
Cl1 Cl 0.0406 0.3603 0.6238 1
```

Values from the calculation:
**E_form (uncorrected)**: -14.90 kcal/mol of atoms

Entry from Alexandria: a relaxed Ce4SmPa3As8 crystal (PBE).

CIF file:
```
data_Ce4SmPa3As8
_cell_length_a 8.3227
_cell_length_b 8.3227
_cell_length_c 20.4500
_cell_angle_alpha 90.00
_cell_angle_beta 90.00
_cell_angle_gamma 120.00
_symmetry_space_group_name_H-M 'R -3 m'
_symmetry_Int_Tables_number 166
_symmetry_space_group_name_Hall '-R 3 2"'
loop_
_atom_site_label
_atom_site_type_symbol
_atom_site_fract_x
_atom_site_fract_y
_atom_site_fract_z
_atom_site_occupancy
Ce1 Ce 0.0000 0.0000 0.0000 1
Ce2 Ce 0.0000 0.5000 0.0000 1
Sm1 Sm 0.0000 0.0000 0.5000 1
Pa1 Pa 0.0000 0.5000 0.5000 1
As1 As 0.0000 0.0000 0.2470 1
As2 As 0.0051 0.5025 0.7523 1
```

Values from the calculation:
**Formation energy from the elements**: -1.299 eV per atom

Entry from Alexandria: a relaxed Tm2PaBiO8 crystal (PBE).

CIF file:
```
data_Tm2PaBiO8
_cell_length_a 7.015
_cell_length_b 7.253
_cell_length_c 6.977
_cell_angle_alpha 90.00
_cell_angle_beta 90.00
_cell_angle_gamma 90.00
_symmetry_space_group_name_H-M 'C m m m'
_symmetry_Int_Tables_number 65
_symmetry_space_group_name_Hall '-C 2 2'
loop_
_atom_site_label
_atom_site_type_symbol
_atom_site_fract_x
_atom_site_fract_y
_atom_site_fract_z
_atom_site_occupancy
Tm1 Tm 0.000 0.000 0.247 1
Pa1 Pa 0.000 0.500 0.500 1
Bi1 Bi 0.000 0.500 0.000 1
O1 O 0.000 0.310 0.244 1
O2 O 0.198 0.000 0.500 1
O3 O 0.201 0.000 0.000 1
```

Values from the calculation:
**E_form (uncorrected)**: -64.74 kcal/mol of atoms

Entry from Alexandria: a relaxed KSb2Te3 crystal (PBE).

CIF file:
```
data_KSb2Te3
_cell_length_a 13.881
_cell_length_b 8.068
_cell_length_c 8.107
_cell_angle_alpha 90.00
_cell_angle_beta 90.00
_cell_angle_gamma 90.00
_symmetry_space_group_name_H-M 'C m c m'
_symmetry_Int_Tables_number 63
_symmetry_space_group_name_Hall '-C 2c 2'
loop_
_atom_site_label
_atom_site_type_symbol
_atom_site_fract_x
_atom_site_fract_y
_atom_site_fract_z
_atom_site_occupancy
K1 K 0.000 0.005 0.250 1
Sb1 Sb 0.167 0.500 0.000 1
Te1 Te 0.000 0.434 0.250 1
Te2 Te 0.215 0.216 0.750 1
```

Values from the calculation:
**E_form (uncorrected)**: -5.61 kcal/mol of atoms

Entry from Alexandria: a relaxed Zn2NiPb crystal (PBE).

CIF file:
```
data_Zn2NiPb
_cell_length_a 3.562
_cell_length_b 4.336
_cell_length_c 4.955
_cell_angle_alpha 90.00
_cell_angle_beta 104.27
_cell_angle_gamma 90.00
_symmetry_space_group_name_H-M 'P 1 2/m 1'
_symmetry_Int_Tables_number 10
loop_
_symmetry_equiv_pos_as_xyz
'x,y,z'
'-x,-y,-z'
'-x,y,-z'
'x,-y,z'
loop_
_atom_site_label
_atom_site_type_symbol
_atom_site_fract_x
_atom_site_fract_y
_atom_site_fract_z
_atom_site_occupancy
Zn1 Zn 0.149 0.000 0.292 1
Ni1 Ni 0.000 0.500 0.500 1
Pb1 Pb 0.500 0.500 0.000 1
```

Values from the calculation:
**Formation energy from the elements**: 0.172 eV per atom

Entry from Alexandria: a relaxed CeH8Rh4 crystal (PBE).

CIF file:
```
data_CeH8Rh4
_cell_length_a 10.183
_cell_length_b 5.582
_cell_length_c 6.010
_cell_angle_alpha 90.00
_cell_angle_beta 123.27
_cell_angle_gamma 90.00
_symmetry_space_group_name_H-M 'C 1 2/m 1'
_symmetry_Int_Tables_number 12
loop_
_symmetry_equiv_pos_as_xyz
'x,y,z'
'-x,-y,-z'
'-x,y,-z'
'x,-y,z'
'x+1/2,y+1/2,z'
'-x+1/2,-y+1/2,-z'
'-x+1/2,y+1/2,-z'
'x+1/2,-y+1/2,z'
loop_
_atom_site_label
_atom_site_type_symbol
_atom_site_fract_x
_atom_site_fract_y
_atom_site_fract_z
_atom_site_occupancy
Ce1 Ce 0.000 0.000 0.000 1
H1 H 0.045 0.500 0.360 1
H2 H 0.085 0.000 0.455 1
H3 H 0.201 0.240 0.762 1
Rh1 Rh 0.000 0.255 0.500 1
Rh2 Rh 0.240 0.000 0.027 1
```

Entry from Alexandria: a relaxed CrPbCl2 crystal (PBE).

CIF file:
```
data_CrPbCl2
_cell_length_a 4.076
_cell_length_b 4.076
_cell_length_c 12.147
_cell_angle_alpha 90.00
_cell_angle_beta 90.00
_cell_angle_gamma 90.00
_symmetry_space_group_name_H-M 'I -4 m 2'
_symmetry_Int_Tables_number 119
_symmetry_space_group_name_Hall 'I -4 -2'
loop_
_atom_site_label
_atom_site_type_symbol
_atom_site_fract_x
_atom_site_fract_y
_atom_site_fract_z
_atom_site_occupancy
Cr1 Cr 0.000 0.000 0.000 1
Pb1 Pb 0.000 0.500 0.750 1
Cl1 Cl 0.000 0.000 0.500 1
Cl2 Cl 0.000 0.500 0.250 1
```

Values from the calculation:
**E_form (uncorrected)**: -2.27 kcal/mol of atoms

Entry from Alexandria: a relaxed Tb2Pm2NdY2 crystal (PBE).

CIF file:
```
data_Tb2Pm2NdY2
_cell_length_a 11.389
_cell_length_b 5.102
_cell_length_c 8.075
_cell_angle_alpha 90.00
_cell_angle_beta 98.12
_cell_angle_gamma 90.00
_symmetry_space_group_name_H-M 'C 1 2/m 1'
_symmetry_Int_Tables_number 12
loop_
_symmetry_equiv_pos_as_xyz
'x,y,z'
'-x,-y,-z'
'-x,y,-z'
'x,-y,z'
'x+1/2,y+1/2,z'
'-x+1/2,-y+1/2,-z'
'-x+1/2,y+1/2,-z'
'x+1/2,-y+1/2,z'
loop_
_atom_site_label
_atom_site_type_symbol
_atom_site_fract_x
_atom_site_fract_y
_atom_site_fract_z
_atom_site_occupancy
Tb1 Tb 0.071 0.000 0.214 1
Pm1 Pm 0.142 0.500 0.929 1
Nd1 Nd 0.000 0.500 0.500 1
Y1 Y 0.215 0.000 0.642 1
```

Values from the calculation:
**Formation energy from the elements**: 0.015 eV per atom

Entry from Alexandria: a relaxed Pa4ReTe2Se crystal (PBE).

CIF file:
```
data_Pa4ReTe2Se
_cell_length_a 7.283
_cell_length_b 4.048
_cell_length_c 7.546
_cell_angle_alpha 90.00
_cell_angle_beta 107.61
_cell_angle_gamma 90.00
_symmetry_space_group_name_H-M 'P 1 2/m 1'
_symmetry_Int_Tables_number 10
loop_
_symmetry_equiv_pos_as_xyz
'x,y,z'
'-x,-y,-z'
'-x,y,-z'
'x,-y,z'
loop_
_atom_site_label
_atom_site_type_symbol
_atom_site_fract_x
_atom_site_fract_y
_atom_site_fract_z
_atom_site_occupancy
Pa1 Pa 0.223 0.000 0.208 1
Pa2 Pa 0.249 0.500 0.783 1
Re1 Re 0.000 0.500 0.000 1
Te1 Te 0.000 0.000 0.500 1
Te2 Te 0.500 0.500 0.500 1
Se1 Se 0.500 0.000 0.000 1
```

Values from the calculation:
**E_form (uncorrected)**: -15.47 kcal/mol of atoms

Entry from Alexandria: a relaxed CrReRh2 crystal (PBE).

CIF file:
```
data_CrReRh2
_cell_length_a 3.710
_cell_length_b 3.710
_cell_length_c 17.625
_cell_angle_alpha 90.00
_cell_angle_beta 90.00
_cell_angle_gamma 90.00
_symmetry_space_group_name_H-M 'I -4 2 d'
_symmetry_Int_Tables_number 122
_symmetry_space_group_name_Hall 'I -4 2bw'
loop_
_atom_site_label
_atom_site_type_symbol
_atom_site_fract_x
_atom_site_fract_y
_atom_site_fract_z
_atom_site_occupancy
Cr1 Cr 0.000 0.000 0.000 1
Re1 Re 0.000 0.000 0.500 1
Rh1 Rh 0.242 0.250 0.125 1
```

Values from the calculation:
**Formation energy from the elements**: 0.507 eV per atom

| no. | uncorrected energy (eV per formula unit) |
| --- | --- |
| 1 | -13.865 |
| 2 | -23.246 |
| 3 | -33.539 |
| 4 | -114.924 |
| 5 | -95.672 |
| 6 | -20.226 |
| 7 | -11.351 |
| 8 | -64.685 |
| 9 | -17.419 |
| 10 | -36.352 |
| 11 | -65.566 |
| 12 | -34.745 |